Material: PuTlAs2O8
Method: DFT, PBE
State: optimized geometry

a b c (Å): 5.3746 5.3746 8.6250
angles (deg): 88.20 88.20 65.41
Last column: magnetic moment on the atom in μB.
Atoms (fractional coordinates):
O 0.2289 0.7097 0.8234  -0.06
O 0.2963 0.2963 0.6088  -0.02
O 0.7729 0.7729 0.0583  -0.07
O 0.2903 0.7711 0.1766  -0.06
O 0.2271 0.2271 0.9417  -0.07
O 0.7711 0.2903 0.1766  -0.06
O 0.7097 0.2289 0.8234  -0.06
O 0.7037 0.7037 0.3912  -0.02
As 0.3598 0.3598 0.7870  0.01
As 0.6402 0.6402 0.2130  0.01
Pu 0.0000 0.0000 0.0000  3.43
Tl 0.0000 0.0000 0.5000  -0.01

Output
Total moment = 3.00 μB per formula unit
Formation energy without anion corrections = -153.8 kJ per mole of atoms
Space-group type = C2/m, No. 12